# PBE-GGA Nd2CoNi3Pt12, optimized geometry
# total moment = 2.950 μB/f.u.
# DOS at the Fermi energy = 57.67 states/eV/cell
# formation energy from the elements = -0.077 eV per atom
# final energy = -5.99 eV per atom
data_Nd2CoNi3Pt12
_cell_length_a 6.7538
_cell_length_b 6.7538
_cell_length_c 25.3832
_cell_angle_alpha 90.00
_cell_angle_beta 90.00
_cell_angle_gamma 120.00
_symmetry_space_group_name_H-M 'R -3 m'
_symmetry_Int_Tables_number 166
_symmetry_space_group_name_Hall '-R 3 2"'
loop_
_atom_site_label
_atom_site_fract_x
_atom_site_fract_y
_atom_site_fract_z
Nd1 0.0000 0.0000 0.1577
Co1 0.0000 0.0000 0.5000
Ni1 0.0000 0.5000 0.0000
Pt1 0.0519 0.5259 0.0980
Pt2 0.0651 0.5326 0.6192

***

# PBE-GGA NdPuCoNi, optimized geometry
# total moment = 4.839 μB/f.u.
# DOS at the Fermi energy = 49.33 states/eV/cell
# formation energy from the elements = 0.013 eV per atom
# final energy = -7.98 eV per atom
data_NdPuCoNi
_cell_length_a 6.8155
_cell_length_b 6.8155
_cell_length_c 6.8155
_cell_angle_alpha 90.00
_cell_angle_beta 90.00
_cell_angle_gamma 90.00
_symmetry_space_group_name_H-M 'F -4 3 m'
_symmetry_Int_Tables_number 216
_symmetry_space_group_name_Hall 'F -4 2 3'
loop_
_atom_site_label
_atom_site_fract_x
_atom_site_fract_y
_atom_site_fract_z
Nd1 0.0000 0.0000 0.0000
Pu1 0.0000 0.0000 0.5000
Co1 0.2500 0.2500 0.2500
Ni1 0.2500 0.2500 0.7500

***

# PBE-GGA NdSmCoNi, optimized geometry
# total moment = 0.000 μB/f.u.
# DOS at the Fermi energy = 6.14 states/eV/cell
# formation energy from the elements = -0.201 eV per atom
# final energy = -5.79 eV per atom
data_NdSmCoNi
_cell_length_a 3.9811
_cell_length_b 3.9257
_cell_length_c 10.9741
_cell_angle_alpha 90.00
_cell_angle_beta 90.00
_cell_angle_gamma 90.00
_symmetry_space_group_name_H-M 'A m m 2'
_symmetry_Int_Tables_number 38
loop_
_symmetry_equiv_pos_as_xyz
'x,y,z'
'-x,-y,z'
'-x,y,z'
'x,-y,z'
'x,y+1/2,z+1/2'
'-x,-y+1/2,z+1/2'
'-x,y+1/2,z+1/2'
'x,-y+1/2,z+1/2'
loop_
_atom_site_label
_atom_site_fract_x
_atom_site_fract_y
_atom_site_fract_z
Nd1 0.0000 0.0000 0.0000
Sm1 0.5000 0.0000 0.2797
Co1 0.5000 0.0000 0.5750
Ni1 0.0000 0.0000 0.7068

***

# PBE-GGA TbNdCoNi, optimized geometry
# total moment = 0.204 μB/f.u.
# DOS at the Fermi energy = 13.38 states/eV/cell
# formation energy from the elements = -0.150 eV per atom
# final energy = -5.72 eV per atom
# energy above the lowest structure with this stoichiometry = 86 meV/atom
data_TbNdCoNi
_cell_length_a 6.8426
_cell_length_b 6.8426
_cell_length_c 6.8426
_cell_angle_alpha 90.00
_cell_angle_beta 90.00
_cell_angle_gamma 90.00
_symmetry_space_group_name_H-M 'F -4 3 m'
_symmetry_Int_Tables_number 216
_symmetry_space_group_name_Hall 'F -4 2 3'
loop_
_atom_site_label
_atom_site_fract_x
_atom_site_fract_y
_atom_site_fract_z
Tb1 0.0000 0.0000 0.0000
Nd1 0.0000 0.0000 0.5000
Co1 0.2500 0.2500 0.2500
Ni1 0.2500 0.2500 0.7500

***

# PBE-GGA TbNdCoNi, optimized geometry
# total moment = 0.000 μB/f.u.
# DOS at the Fermi energy = 5.99 states/eV/cell
# formation energy from the elements = -0.236 eV per atom
# final energy = -5.81 eV per atom
# energy above the lowest structure with this stoichiometry = 0 meV/atom
data_TbNdCoNi
_cell_length_a 3.9654
_cell_length_b 3.8962
_cell_length_c 10.8434
_cell_angle_alpha 90.00
_cell_angle_beta 90.00
_cell_angle_gamma 90.00
_symmetry_space_group_name_H-M 'A m m 2'
_symmetry_Int_Tables_number 38
loop_
_symmetry_equiv_pos_as_xyz
'x,y,z'
'-x,-y,z'
'-x,y,z'
'x,-y,z'
'x,y+1/2,z+1/2'
'-x,-y+1/2,z+1/2'
'-x,y+1/2,z+1/2'
'x,-y+1/2,z+1/2'
loop_
_atom_site_label
_atom_site_fract_x
_atom_site_fract_y
_atom_site_fract_z
Tb1 0.0000 0.0000 0.0000
Nd1 0.5000 0.0000 0.7198
Co1 0.0000 0.0000 0.2982
Ni1 0.5000 0.0000 0.4312

***

# PBE-GGA NdTmCoNi, optimized geometry
# total moment = 0.236 μB/f.u.
# DOS at the Fermi energy = 12.64 states/eV/cell
# formation energy from the elements = -0.185 eV per atom
# final energy = -5.72 eV per atom
data_NdTmCoNi
_cell_length_a 6.7855
_cell_length_b 6.7855
_cell_length_c 6.7855
_cell_angle_alpha 90.00
_cell_angle_beta 90.00
_cell_angle_gamma 90.00
_symmetry_space_group_name_H-M 'F -4 3 m'
_symmetry_Int_Tables_number 216
_symmetry_space_group_name_Hall 'F -4 2 3'
loop_
_atom_site_label
_atom_site_fract_x
_atom_site_fract_y
_atom_site_fract_z
Nd1 0.0000 0.0000 0.0000
Tm1 0.0000 0.0000 0.5000
Co1 0.2500 0.2500 0.2500
Ni1 0.2500 0.2500 0.7500

***

> What is the DOS at the Fermi energy in the first record?

57.67 states/eV/cell

***

> final energy of number 1 (Nd2CoNi3Pt12)?

-5.99 eV per atom

***

> Look up the total moment of the fifth one.

0.000 μB/f.u.